No. 1
GGA-PBE Hf2Al6Ga, relaxed; final energy = -5.309 eV/atom; ΔH_f (0 K) = -0.265 eV/atom; SG = No. 12; density = 6168 kg/m3
1.0
3.863 0.000 -1.155
-0.690 5.871 -2.308
-0.027 0.109 6.948
Hf Al Ga
2 6 1
direct
0.945 0.184 0.890
0.055 0.816 0.110
0.395 0.833 0.790
0.605 0.167 0.210
0.721 0.854 0.442
0.173 0.503 0.347
0.279 0.146 0.558
0.827 0.497 0.653
0.500 0.500 0.000

No. 2
GGA-PBE HfAlGa, relaxed; final energy = -5.993 eV/atom; ΔH_f (0 K) = -0.419 eV/atom; SG = No. 74; density = 8922 kg/m3
1.0
-0.252 0.585 5.216
-4.596 -2.543 0.063
3.577 -6.441 0.895
Hf Al Ga
4 4 4
direct
0.000 0.250 0.130
0.000 0.750 0.870
0.500 0.750 0.630
0.500 0.250 0.370
0.000 0.000 0.500
0.000 0.500 0.500
0.500 0.500 0.000
0.500 0.000 0.000
0.250 0.250 0.750
0.250 0.750 0.250
0.750 0.750 0.250
0.750 0.250 0.750